First-principles (GGA-PBE) data for TmPaZnNi after structural relaxation, as listed in Alexandria.

Summary:
As for the energy of formation from the pure elements: -0.11 eV/atom. The value obtained for the magnetization is 0.0 μB/cell. As for the symmetry: No. 216. For the volume, the calculation gives 20.3 A^3/atom.

Geometry as POSCAR:
```
TmPaZnNi
1.0
-0.429 -0.052 -4.845
1.374 -3.927 -2.522
-3.347 -2.826 -2.115
Zn Ni Pa Tm
1 1 1 1
direct
0.750 0.750 0.750
0.250 0.250 0.250
0.500 0.500 0.500
0.000 0.000 0.000
```